Entry 1:
Density functional theory data (PBE+U) for a geometry-optimized BaNaCeFeO6 structure.

Summary:
raw total energy = -6.53 eV/atom

Geometry as POSCAR:
```
BaNaCeFeO6
1.0
0.000 4.127 4.127
4.127 0.000 4.127
4.127 4.127 0.000
O Fe Ce Na Ba
6 1 1 1 1
direct
0.733 0.267 0.733
0.733 0.267 0.267
0.267 0.733 0.267
0.733 0.733 0.267
0.267 0.733 0.733
0.267 0.267 0.733
0.500 0.500 0.500
0.000 0.000 0.000
0.250 0.250 0.250
0.750 0.750 0.750
```

=====

Entry 2:
Density functional theory data (PBE+U) for a geometry-optimized Ba2CeFe2O6 structure.

Summary:
raw total energy = -6.97 eV/atom

Geometry as POSCAR:
```
Ba2CeFe2O6
1.0
-2.882 4.473 3.191
-5.880 1.466 -1.333
-4.784 -1.979 4.485
Ba Fe O Ce
2 2 6 1
direct
0.789 0.789 0.632
0.211 0.211 0.368
0.581 0.581 0.256
0.419 0.419 0.744
0.243 0.772 0.742
0.228 0.757 0.258
0.243 0.243 0.742
0.772 0.243 0.742
0.757 0.228 0.258
0.757 0.757 0.258
0.000 0.000 0.000
```